# 1
OsCl | the Alexandria database | PBE | optimized geometry; excess energy over the best structure of this formula in the dataset = 2.19 eV/f.u.; ΔE_f (raw) = 1.220 eV per atom; SG = P4_2/mnm; N(E_F) = 9.1 states/eV per cell
1.0
7.5200 0.0000 0.0000
0.0000 7.5200 0.0000
0.0000 0.0000 2.9307
Os Cl
4 4
direct
0.3868 0.3868 0.0000 Os
0.8868 0.1132 0.5000 Os
0.1132 0.8868 0.5000 Os
0.6132 0.6132 0.0000 Os
0.2991 0.7009 0.0000 Cl
0.7991 0.7991 0.5000 Cl
0.2009 0.2009 0.5000 Cl
0.7009 0.2991 0.0000 Cl

---

# 2
Li3Mg2 | the Alexandria database | PBE | optimized geometry; excess energy over the best structure of this formula in the dataset = 0.81 eV/f.u.; energy of formation = 11.9 kJ/mol of atoms; SG = P-3m1; N(E_F) = 2.4 states/eV per cell
1.0
-3.9977 0.1367 -2.7715
0.3255 -3.2082 3.6446
-2.4640 4.0124 3.7520
Li Mg
3 2
direct
0.0000 0.0000 0.0000 Li
0.6667 0.3333 0.6387 Li
0.3333 0.6667 0.3613 Li
0.6667 0.3333 0.1284 Mg
0.3333 0.6667 0.8716 Mg

---

# 3
CaHg2Rh | the Alexandria database | PBE | optimized geometry; energy of formation = -18.9 kJ/mol of atoms; SG = Pmmm; N(E_F) = 2.7 states/eV per cell
1.0
-3.7324 -1.9623 -0.8454
0.9149 0.1156 -4.3074
1.9847 -3.9113 0.3166
Ca Rh Hg
1 1 2
direct
0.0000 0.5000 0.5000 Ca
0.5000 0.0000 0.5000 Rh
0.0000 0.0000 0.0000 Hg
0.5000 0.5000 0.0000 Hg